GeSb4: optimized geometry, PBE-GGA.

Calculated values
**Density**: 6.14 g cm⁻³
**Space-group type**: Pm-3m (221)
**Volume**: 151.4 Å³/f.u.
**E_tot**: -0.2637 Ry/atom
**Energy relative to the elements, uncorrected**: 3.2 eV/f.u.

Cell: 5.329 5.329 5.329 Å, 90.00 90.00 90.00°
Fractional positions:
Ge 0.000 0.000 0.000
Sb 0.000 0.000 0.500
Sb 0.000 0.500 0.000
Sb 0.500 0.000 0.000
Sb 0.500 0.500 0.500



LiLaSmTl: optimized geometry, PBE-GGA.

Calculated values
**Density**: 7.14 g cm⁻³
**Space-group type**: F-43m (216)
**Volume**: 116.4 Å³/f.u.
**E_tot**: -0.2710 Ry/atom
**Energy relative to the elements**: -206 meV/atom

Cell: 5.481 5.481 5.481 Å, 60.00 60.00 60.00°
Fractional positions:
Li 0.000 0.000 0.000
La 0.250 0.250 0.250
Sm 0.750 0.750 0.750
Tl 0.500 0.500 0.500